The following is a GGA-PBE calculation of a relaxed structure of TlHgPS2, from the Alexandria database.

Summary:
- Space group: P4/mmm (123)
- Magnetic moment: 0.3379 μB per atom
- V: 27.2 Å³ per atom
- Formation energy without anion corrections: 0.7076 eV per atom
- Crystal system: tetragonal

a = 5.1740 Å, b = 5.1740 Å, c = 5.0726 Å
α = 90.00°, β = 90.00°, γ = 90.00°
Site moments in Bohr magnetons follow the coordinates.
Positions (direct):
S: 0.0000 0.5000 0.0000  0.08
S: 0.5000 0.0000 0.0000  0.08
P: 0.0000 0.0000 0.5000  0.62
Tl: 0.5000 0.5000 0.5000  0.02
Hg: 0.0000 0.0000 0.0000  0.03